# SbPd15, optimized geometry, DFT PBE-GGA
data_SbPd15
_symmetry_space_group_name_H-M 'P 1'
_symmetry_Int_Tables_number 1
_cell_length_a 5.5280
_cell_length_b 3.9196
_cell_length_c 35.0134
_cell_angle_alpha 90.00
_cell_angle_beta 90.00
_cell_angle_gamma 90.00
loop_
_symmetry_equiv_pos_as_xyz
'x,y,z'
loop_
_atom_site_label
_atom_site_fract_x
_atom_site_fract_y
_atom_site_fract_z
_atom_site_occupancy
Sb1 0.1252 0.2500 0.2028 1
Sb2 0.8748 0.7500 0.7972 1
Pd1 0.1250 0.2500 0.2806 1
Pd2 0.1248 0.2500 0.3606 1
Pd3 0.1250 0.2500 0.4405 1
Pd4 0.1252 0.2500 0.5200 1
Pd5 0.1251 0.2500 0.5997 1
Pd6 0.1250 0.2500 0.6797 1
Pd7 0.1263 0.2500 0.7619 1
Pd8 0.3747 0.7500 0.3204 1
Pd9 0.3749 0.7500 0.4004 1
Pd10 0.3752 0.7500 0.4802 1
Pd11 0.3751 0.7500 0.5600 1
Pd12 0.3751 0.7500 0.6397 1
Pd13 0.3750 0.7500 0.7199 1
Pd14 0.3748 0.7500 0.8017 1
Pd15 0.3767 0.7500 0.2382 1
Pd16 0.6233 0.2500 0.7618 1
Pd17 0.6252 0.2500 0.1983 1
Pd18 0.6250 0.2500 0.2801 1
Pd19 0.6249 0.2500 0.3603 1
Pd20 0.6249 0.2500 0.4400 1
Pd21 0.6248 0.2500 0.5198 1
Pd22 0.6251 0.2500 0.5996 1
Pd23 0.6253 0.2500 0.6796 1
Pd24 0.8737 0.7500 0.2381 1
Pd25 0.8750 0.7500 0.3203 1
Pd26 0.8749 0.7500 0.4003 1
Pd27 0.8748 0.7500 0.4800 1
Pd28 0.8750 0.7500 0.5595 1
Pd29 0.8752 0.7500 0.6394 1
Pd30 0.8750 0.7500 0.7194 1
# offset from the most stable computed form	0.013	eV/atom
# crystal system	monoclinic
# SG	P2_1/m, No. 11
# energy	-5.14	eV per atom

# SrCu2Tc, optimized geometry, DFT PBE-GGA
data_SrCu2Tc
_symmetry_space_group_name_H-M 'P 1'
_symmetry_Int_Tables_number 1
_cell_length_a 6.5883
_cell_length_b 6.5883
_cell_length_c 6.5883
_cell_angle_alpha 90.00
_cell_angle_beta 90.00
_cell_angle_gamma 90.00
loop_
_symmetry_equiv_pos_as_xyz
'x,y,z'
loop_
_atom_site_label
_atom_site_fract_x
_atom_site_fract_y
_atom_site_fract_z
_atom_site_occupancy
Sr1 0.0000 0.0000 0.0000 1
Sr2 0.0000 0.5000 0.5000 1
Sr3 0.5000 0.0000 0.5000 1
Sr4 0.5000 0.5000 0.0000 1
Cu1 0.0000 0.0000 0.5000 1
Cu2 0.0000 0.5000 0.0000 1
Cu3 0.2500 0.2500 0.7500 1
Cu4 0.2500 0.7500 0.2500 1
Cu5 0.5000 0.0000 0.0000 1
Cu6 0.5000 0.5000 0.5000 1
Cu7 0.7500 0.2500 0.2500 1
Cu8 0.7500 0.7500 0.7500 1
Tc1 0.2500 0.2500 0.2500 1
Tc2 0.2500 0.7500 0.7500 1
Tc3 0.7500 0.2500 0.7500 1
Tc4 0.7500 0.7500 0.2500 1
# crystal system	cubic
# SG	F-43m, No. 216
# energy	-4.02	eV per atom

# Mo2C, optimized geometry, DFT PBE-GGA
data_Mo2C
_symmetry_space_group_name_H-M 'P 1'
_symmetry_Int_Tables_number 1
_cell_length_a 4.2039
_cell_length_b 4.2039
_cell_length_c 2.7209
_cell_angle_alpha 90.00
_cell_angle_beta 90.00
_cell_angle_gamma 120.00
loop_
_symmetry_equiv_pos_as_xyz
'x,y,z'
loop_
_atom_site_label
_atom_site_fract_x
_atom_site_fract_y
_atom_site_fract_z
_atom_site_occupancy
Mo1 0.3333 0.6667 0.0000 1
Mo2 0.6667 0.3333 0.0000 1
C1 0.0000 0.0000 0.5000 1
# crystal system	hexagonal
# SG	P6/mmm, No. 191
# energy	-8.29	eV per atom

# ZnHg2Mo, optimized geometry, DFT PBE-GGA
data_ZnHg2Mo
_symmetry_space_group_name_H-M 'P 1'
_symmetry_Int_Tables_number 1
_cell_length_a 6.7110
_cell_length_b 6.7110
_cell_length_c 6.7110
_cell_angle_alpha 90.00
_cell_angle_beta 90.00
_cell_angle_gamma 90.00
loop_
_symmetry_equiv_pos_as_xyz
'x,y,z'
loop_
_atom_site_label
_atom_site_fract_x
_atom_site_fract_y
_atom_site_fract_z
_atom_site_occupancy
Zn1 0.0000 0.0000 0.0000 1
Zn2 0.0000 0.5000 0.5000 1
Zn3 0.5000 0.0000 0.5000 1
Zn4 0.5000 0.5000 0.0000 1
Hg1 0.0000 0.0000 0.5000 1
Hg2 0.0000 0.5000 0.0000 1
Hg3 0.2500 0.2500 0.7500 1
Hg4 0.2500 0.7500 0.2500 1
Hg5 0.5000 0.0000 0.0000 1
Hg6 0.5000 0.5000 0.5000 1
Hg7 0.7500 0.2500 0.2500 1
Hg8 0.7500 0.7500 0.7500 1
Mo1 0.2500 0.2500 0.2500 1
Mo2 0.2500 0.7500 0.7500 1
Mo3 0.7500 0.2500 0.7500 1
Mo4 0.7500 0.7500 0.2500 1
# energy relative to the elements	0.67	eV/atom
# crystal system	cubic
# SG	F-43m, No. 216
# energy	-2.50	eV per atom

# LiNbTc, optimized geometry, DFT PBE-GGA
data_LiNbTc
_symmetry_space_group_name_H-M 'P 1'
_symmetry_Int_Tables_number 1
_cell_length_a 6.0047
_cell_length_b 6.0047
_cell_length_c 6.0047
_cell_angle_alpha 90.00
_cell_angle_beta 90.00
_cell_angle_gamma 90.00
loop_
_symmetry_equiv_pos_as_xyz
'x,y,z'
loop_
_atom_site_label
_atom_site_fract_x
_atom_site_fract_y
_atom_site_fract_z
_atom_site_occupancy
Li1 0.0000 0.0000 0.0000 1
Li2 0.0000 0.5000 0.5000 1
Li3 0.5000 0.0000 0.5000 1
Li4 0.5000 0.5000 0.0000 1
Nb1 0.2500 0.2500 0.2500 1
Nb2 0.2500 0.7500 0.7500 1
Nb3 0.7500 0.2500 0.7500 1
Nb4 0.7500 0.7500 0.2500 1
Tc1 0.0000 0.0000 0.5000 1
Tc2 0.0000 0.5000 0.0000 1
Tc3 0.5000 0.0000 0.0000 1
Tc4 0.5000 0.5000 0.5000 1
# offset from the most stable computed form	0.161	eV/atom
# crystal system	cubic
# SG	F-43m, No. 216
# energy	-6.51	eV per atom

# YCuPdPb, optimized geometry, DFT PBE-GGA
data_YCuPdPb
_symmetry_space_group_name_H-M 'P 1'
_symmetry_Int_Tables_number 1
_cell_length_a 6.8513
_cell_length_b 6.8513
_cell_length_c 6.8513
_cell_angle_alpha 90.00
_cell_angle_beta 90.00
_cell_angle_gamma 90.00
loop_
_symmetry_equiv_pos_as_xyz
'x,y,z'
loop_
_atom_site_label
_atom_site_fract_x
_atom_site_fract_y
_atom_site_fract_z
_atom_site_occupancy
Y1 0.0000 0.0000 0.0000 1
Y2 0.0000 0.5000 0.5000 1
Y3 0.5000 0.0000 0.5000 1
Y4 0.5000 0.5000 0.0000 1
Cu1 0.2500 0.2500 0.2500 1
Cu2 0.2500 0.7500 0.7500 1
Cu3 0.7500 0.2500 0.7500 1
Cu4 0.7500 0.7500 0.2500 1
Pd1 0.0000 0.0000 0.5000 1
Pd2 0.0000 0.5000 0.0000 1
Pd3 0.5000 0.0000 0.0000 1
Pd4 0.5000 0.5000 0.5000 1
Pb1 0.2500 0.2500 0.7500 1
Pb2 0.2500 0.7500 0.2500 1
Pb3 0.7500 0.2500 0.2500 1
Pb4 0.7500 0.7500 0.7500 1
# offset from the most stable computed form	0.148	eV/atom
# crystal system	cubic
# SG	F-43m, No. 216
# energy	-5.08	eV per atom

Question: Number 3 is which compound?
Answer: Mo2C

Question: What is the energy in the fourth record?
Answer: -2.50 eV per atom

Repeat the third record exactly.
# Mo2C, optimized geometry, DFT PBE-GGA
data_Mo2C
_symmetry_space_group_name_H-M 'P 1'
_symmetry_Int_Tables_number 1
_cell_length_a 4.2039
_cell_length_b 4.2039
_cell_length_c 2.7209
_cell_angle_alpha 90.00
_cell_angle_beta 90.00
_cell_angle_gamma 120.00
loop_
_symmetry_equiv_pos_as_xyz
'x,y,z'
loop_
_atom_site_label
_atom_site_fract_x
_atom_site_fract_y
_atom_site_fract_z
_atom_site_occupancy
Mo1 0.3333 0.6667 0.0000 1
Mo2 0.6667 0.3333 0.0000 1
C1 0.0000 0.0000 0.5000 1
# crystal system	hexagonal
# SG	P6/mmm, No. 191
# energy	-8.29	eV per atom

Question: Look up the energy of the first one.
Answer: -5.14 eV per atom